# 1
The following is a DFT calculation (PBE) of a relaxed structure of LiAg4Au5.

```
10
Lattice="-3.056 0.652 4.417 -2.197 -5.529 2.609 3.301 0.006 5.596" Properties=species:S:1:pos:R:3 pbc="T T T"
Au -1.306 -0.223 5.485
Au -0.473 -1.401 9.548
Au -1.229 -3.525 2.712
Au -1.972 0.421 2.851
Au -0.396 -4.702 6.775
Ag 0.357 -1.905 6.871
Ag -2.007 -3.543 8.790
Ag 0.317 -1.385 3.453
Ag -2.048 -3.023 5.372
Li -0.611 0.130 0.883
```

Values from the calculation:
The calculation puts the formation energy at 0.02 eV per atom.

# 2
The following is a DFT calculation (PBE) of a relaxed structure of ZrMn2Fe.

```
4
Lattice="-2.376 -6.378 5.196 0.230 -5.826 6.271 -2.035 -4.283 7.131" Properties=species:S:1:pos:R:3 pbc="T T T"
Zr -2.084 -8.218 9.270
Mn -0.002 -0.006 0.007
Mn -1.088 -4.291 4.840
Fe -3.098 -12.216 13.780
```

Values from the calculation:
The calculation puts the formation energy at 0.35 eV per atom.

# 3
The following is a DFT calculation (PBE) of a relaxed structure of Tb3PmPr6Dy2.

```
12
Lattice="-2.375 -3.429 4.760 3.303 -2.829 -4.598 9.619 3.710 6.075" Properties=species:S:1:pos:R:3 pbc="T T T"
Dy 1.410 -3.029 -1.478
Dy -0.482 -3.229 1.639
Tb 3.381 -1.474 6.237
Tb 5.273 -1.274 3.118
Tb 7.166 -1.074 0.000
Pm 0.000 0.000 0.000
Pr 1.695 -0.742 3.125
Pr 3.105 -3.766 1.643
Pr 3.591 -0.541 0.000
Pr 8.852 -1.807 3.112
Pr 7.441 1.218 4.594
Pr 6.956 -2.007 6.236
```

Values from the calculation:
The calculation puts the formation energy at 0.01 eV per atom.

Question: Which formula does entry 2 have?
Answer: ZrMn2Fe